Below is a relaxed Na3PuFe2O6 crystal, with properties calculated at the GGA+U level.

Geometry as CIF:
```
data_Na3PuFe2O6
_chemical_formula_sum 'Na6 Pu2 Fe4 O12'
_space_group_name_H-M_alt 'C 1 2/m 1'
_space_group_IT_number 12
_cell_length_a 5.603
_cell_length_b 9.654
_cell_length_c 5.829
_cell_angle_alpha 90.00
_cell_angle_beta 109.32
_cell_angle_gamma 90.00
loop_
_space_group_symop_operation_xyz
'x,y,z'
'-x,-y,-z'
'-x,y,-z'
'x,-y,z'
'x+1/2,y+1/2,z'
'-x+1/2,-y+1/2,-z'
'-x+1/2,y+1/2,-z'
'x+1/2,-y+1/2,z'
loop_
_atom_site_label
_atom_site_type_symbol
_atom_site_fract_x
_atom_site_fract_y
_atom_site_fract_z
_atom_site_occupancy
Na1 Na 0.000 0.000 0.000 1
Na2 Na 0.000 0.325 0.000 1
Pu1 Pu 0.000 0.500 0.500 1
Fe1 Fe 0.000 0.166 0.500 1
O1 O 0.228 0.336 0.713 1
O2 O 0.238 0.000 0.708 1
```

Results
E_tot = -164.61 eV/cell
volume = 297.49 Å³ per cell